## AlPt2Au (PBE-GGA)

Data for a relaxed structure of AlPt2Au.

a b c (Å): 9.082 9.082 9.082
angles (deg): 18.23 18.23 18.23
Fractional coordinates of all 4 atoms:
Al (0.250, 0.250, 0.250)
Au (0.750, 0.750, 0.750)
Pt (0.511, 0.511, 0.511)
Pt (0.989, 0.989, 0.989)

Results
Raw total energy = -21.1 eV per cell
Formation energy = -194 kJ/mol of formula units
Total magnetization = 0.000 μB/atom
Density of states at the Fermi level = 2.2 states/eV per cell

***

## AlPtAu2 (PBE-GGA)

Data for a relaxed structure of AlPtAu2.

a b c (Å): 8.902 8.902 8.902
angles (deg): 19.25 19.25 19.25
Fractional coordinates of all 4 atoms:
Au (0.249, 0.249, 0.249)
Pt (0.490, 0.490, 0.490)
Al (0.753, 0.753, 0.753)
Au (0.009, 0.009, 0.009)

Results
Raw total energy = -17.7 eV per cell
Formation energy = -127 kJ/mol of formula units
Total magnetization = 0.000 μB/atom
Density of states at the Fermi level = 1.5 states/eV per cell

***

## AlPtAu (PBE-GGA)

Data for a relaxed structure of AlPtAu.

a b c (Å): 4.215 4.215 3.228
angles (deg): 90.00 90.00 120.00
Fractional coordinates of all 3 atoms:
Pt (0.333, 0.667, 0.779)
Au (0.667, 0.333, 0.296)
Al (0.000, 0.000, 0.925)

Results
Raw total energy = -14.5 eV per cell
Formation energy = -144 kJ/mol of formula units
Total magnetization = 0.000 μB/atom
Density of states at the Fermi level = 1.5 states/eV per cell

***

## AlPtAu2 (PBE-GGA)

Data for a relaxed structure of AlPtAu2.

a b c (Å): 4.544 4.544 4.544
angles (deg): 60.00 60.00 60.00
Fractional coordinates of all 4 atoms:
Al (0.500, 0.500, 0.500)
Au (0.000, 0.000, 0.000)
Au (0.250, 0.250, 0.250)
Pt (0.750, 0.750, 0.750)

Results
Raw total energy = -17.5 eV per cell
Formation energy = -115 kJ/mol of formula units
Total magnetization = 0.000 μB/atom
Density of states at the Fermi level = 2.2 states/eV per cell

***

## AlPtAu2 (PBE-GGA)

Data for a relaxed structure of AlPtAu2.

a b c (Å): 3.157 3.688 5.704
angles (deg): 90.00 90.00 90.00
Fractional coordinates of all 4 atoms:
Au (0.000, 0.000, 0.990)
Au (0.000, 0.000, 0.510)
Al (0.500, 0.500, 0.750)
Pt (0.500, 0.500, 0.250)

Results
Raw total energy = -17.3 eV per cell
Formation energy = -90 kJ/mol of formula units
Total magnetization = 0.000 μB/atom
Density of states at the Fermi level = 1.4 states/eV per cell

***

## AlPt4Au (PBE-GGA)

Data for a relaxed structure of AlPt4Au.

a b c (Å): 5.277 5.277 5.277
angles (deg): 60.00 60.00 60.00
Fractional coordinates of all 6 atoms:
Au (0.000, 0.000, 0.000)
Pt (0.125, 0.625, 0.625)
Pt (0.625, 0.625, 0.625)
Pt (0.625, 0.625, 0.125)
Pt (0.625, 0.125, 0.625)
Al (0.250, 0.250, 0.250)

Results
Raw total energy = -31.1 eV per cell
Formation energy = 7 kJ/mol of formula units
Total magnetization = 0.000 μB/atom
Density of states at the Fermi level = 8.4 states/eV per cell

***

## AlPtAu2 (PBE-GGA)

Data for a relaxed structure of AlPtAu2.

a b c (Å): 4.005 3.998 4.100
angles (deg): 90.00 90.00 90.00
Fractional coordinates of all 4 atoms:
Au (0.000, 0.000, 0.000)
Pt (0.500, 0.000, 0.500)
Au (0.500, 0.500, 0.000)
Al (0.000, 0.500, 0.500)

Results
Raw total energy = -17.7 eV per cell
Formation energy = -133 kJ/mol of formula units
Total magnetization = 0.000 μB/atom
Density of states at the Fermi level = 2.1 states/eV per cell

***

## AlPtAu2 (PBE-GGA)

Data for a relaxed structure of AlPtAu2.

a b c (Å): 5.366 5.366 5.366
angles (deg): 142.97 133.70 60.72
Fractional coordinates of all 4 atoms:
Au (0.035, 0.035, 0.000)
Al (0.250, 0.750, 0.500)
Au (0.465, 0.465, 0.000)
Pt (0.750, 0.250, 0.500)

Results
Raw total energy = -17.7 eV per cell
Formation energy = -136 kJ/mol of formula units
Total magnetization = 0.000 μB/atom
Density of states at the Fermi level = 1.2 states/eV per cell